(1)
DFT (SCAN) results for a crystal of LaCrAs2 relaxed with PBEsol.

Results
Its spin magnetization is 3.989 μB per formula unit. As for the symmetry: Pmmm (47). The calculation puts the excess energy over the best structure of this formula in the dataset at 0.000 eV per formula unit.

Unit cell a=3.9801 b=4.0668 c=5.6329 alpha=90.00 beta=90.00 gamma=90.00
Atoms (fractional coordinates):
1 La 0.0000 0.0000 0.0000
2 Cr 0.0000 0.5000 0.5000
3 As 0.5000 0.5000 0.2420
4 As 0.5000 0.5000 0.7580

---

(2)
DFT (SCAN) results for a crystal of La2TaCrAs relaxed with PBEsol.

Results
The calculation puts the total energy at -37.880 eV/atom. Its spin magnetization is 5.370 μB per formula unit. As for the symmetry: P4/mmm (123).

Unit cell a=5.5552 b=5.5552 c=4.8825 alpha=90.00 beta=90.00 gamma=90.00
Atoms (fractional coordinates):
1 La 0.0000 0.5000 0.0000
2 La 0.5000 0.0000 0.0000
3 Ta 0.0000 0.0000 0.0000
4 Cr 0.5000 0.5000 0.5000
5 As 0.0000 0.0000 0.5000

---

(3)
DFT (SCAN) results for a crystal of LaZnCr2As relaxed with PBEsol.

Results
The calculation puts the total energy at -21.155 eV/atom. Its spin magnetization is 8.544 μB per formula unit. As for the symmetry: P4/mmm (123).

Unit cell a=4.9683 b=4.9683 c=5.4512 alpha=90.00 beta=90.00 gamma=90.00
Atoms (fractional coordinates):
1 La 0.0000 0.0000 0.0000
2 Zn 0.5000 0.5000 0.5000
3 Cr 0.0000 0.5000 0.0000
4 Cr 0.5000 0.0000 0.0000
5 As 0.0000 0.0000 0.5000

---

(4)
DFT (SCAN) results for a crystal of Li2CrAs relaxed with PBEsol.

Results
The calculation puts the total energy at -10.830 eV/atom. Its spin magnetization is 3.067 μB per formula unit. As for the symmetry: C2/m (12).

Unit cell a=5.1347 b=5.1347 c=2.6378 alpha=99.61 beta=99.61 gamma=125.07
Atoms (fractional coordinates):
1 Li 0.0000 0.5000 0.0000
2 Li 0.5000 0.0000 0.0000
3 Cr 0.0000 0.0000 0.5000
4 As 0.5000 0.5000 0.5000